[1]
Density functional theory data (GGA-PBE) for crystalline Tc2IrRu at its relaxed geometry.

Values from the calculation:
The distance to the lowest polymorph of the same formula is 179 meV per atom. Its space group is No. 12. Its formation energy is -1.88 kJ per mole of atoms.

a b c (Å): 4.575 4.575 5.538
angles (deg): 90.03 90.03 91.23
Sites, in units of the cell vectors:
Tc 0.202 0.798 0.000
Tc 0.297 0.297 0.254
Tc 0.703 0.703 0.746
Tc 0.798 0.202 0.000
Ir 0.298 0.298 0.748
Ir 0.702 0.702 0.252
Ru 0.200 0.800 0.500
Ru 0.800 0.200 0.500

[2]
Density functional theory data (GGA-PBE) for crystalline AlTc2Ag at its relaxed geometry.

Values from the calculation:
Its space group is No. 119. Its formation energy is 10.95 kJ per mole of atoms.

a b c (Å): 4.644 4.644 4.644
angles (deg): 127.99 127.99 76.64
Sites, in units of the cell vectors:
Al 0.000 0.000 0.000
Tc 0.250 0.750 0.500
Tc 0.500 0.500 0.000
Ag 0.750 0.250 0.500

[3]
Density functional theory data (GGA-PBE) for crystalline NaCuAu4 at its relaxed geometry.

Values from the calculation:
Its space group is No. 216. Its formation energy is -5.51 kJ per mole of atoms.

a b c (Å): 5.517 5.517 5.517
angles (deg): 60.00 60.00 60.00
Sites, in units of the cell vectors:
Na 0.000 0.000 0.000
Cu 0.750 0.750 0.750
Au 0.375 0.375 0.375
Au 0.375 0.375 0.874
Au 0.375 0.874 0.375
Au 0.874 0.375 0.375

[4]
Density functional theory data (GGA-PBE) for crystalline AcAlGa at its relaxed geometry.

Values from the calculation:
The distance to the lowest polymorph of the same formula is 140 meV per atom. Its space group is No. 62. Its formation energy is -38.83 kJ per mole of atoms.

a b c (Å): 5.936 4.216 12.812
angles (deg): 90.00 90.00 90.00
Sites, in units of the cell vectors:
Ac 0.125 0.250 0.141
Ac 0.375 0.750 0.641
Ac 0.625 0.250 0.359
Ac 0.875 0.750 0.859
Al 0.135 0.750 0.356
Al 0.365 0.250 0.856
Al 0.635 0.750 0.144
Al 0.865 0.250 0.644
Ga 0.154 0.250 0.479
Ga 0.346 0.750 0.979
Ga 0.654 0.250 0.021
Ga 0.846 0.750 0.521

[5]
Density functional theory data (GGA-PBE) for crystalline Pm3PrSmY at its relaxed geometry.

Values from the calculation:
Its space group is No. 63. Its formation energy is 10.76 kJ per mole of atoms.

a b c (Å): 6.471 6.471 11.980
angles (deg): 90.00 90.00 125.08
Sites, in units of the cell vectors:
Pm 0.142 0.858 0.750
Pm 0.328 0.672 0.525
Pm 0.328 0.672 0.975
Pm 0.672 0.328 0.025
Pm 0.672 0.328 0.475
Pm 0.858 0.142 0.250
Pr 0.473 0.527 0.250
Pr 0.527 0.473 0.750
Sm 0.000 0.000 0.000
Sm 0.000 0.000 0.500
Y 0.168 0.832 0.250
Y 0.832 0.168 0.750

[6]
Density functional theory data (GGA-PBE) for crystalline IrRh2 at its relaxed geometry.

Values from the calculation:
The distance to the lowest polymorph of the same formula is 528 meV per atom. Its space group is No. 194. Its formation energy is 49.59 kJ per mole of atoms.

a b c (Å): 5.051 5.051 8.143
angles (deg): 90.00 90.00 120.00
Sites, in units of the cell vectors:
Ir 0.333 0.667 0.076
Ir 0.333 0.667 0.424
Ir 0.667 0.333 0.576
Ir 0.667 0.333 0.924
Rh 0.000 0.000 0.000
Rh 0.000 0.000 0.500
Rh 0.171 0.341 0.750
Rh 0.171 0.829 0.750
Rh 0.341 0.171 0.250
Rh 0.659 0.829 0.750
Rh 0.829 0.171 0.250
Rh 0.829 0.659 0.250

[7]
Density functional theory data (GGA-PBE) for crystalline DyP2IrRu at its relaxed geometry.

Values from the calculation:
Its space group is No. 119. Its formation energy is -93.42 kJ per mole of atoms.

a b c (Å): 5.633 5.633 5.633
angles (deg): 138.19 138.19 60.61
Sites, in units of the cell vectors:
Dy 0.000 0.000 0.000
P 0.382 0.382 0.000
P 0.618 0.618 0.000
Ir 0.750 0.250 0.500
Ru 0.250 0.750 0.500

[8]
Density functional theory data (GGA-PBE) for crystalline Pr2NdSm2Y4 at its relaxed geometry.

Values from the calculation:
Its space group is No. 12. Its formation energy is -0.35 kJ per mole of atoms.

a b c (Å): 9.672 9.672 9.725
angles (deg): 115.24 115.24 21.82
Sites, in units of the cell vectors:
Pr 0.166 0.166 0.000
Pr 0.834 0.834 0.000
Nd 0.500 0.500 0.000
Sm 0.352 0.352 0.336
Sm 0.648 0.648 0.664
Y 0.020 0.020 0.335
Y 0.315 0.315 0.664
Y 0.685 0.685 0.336
Y 0.980 0.980 0.665

[9]
Density functional theory data (GGA-PBE) for crystalline Gd2ErFe at its relaxed geometry.

Values from the calculation:
The distance to the lowest polymorph of the same formula is 0 meV per atom. Its space group is No. 123. Its formation energy is 9.18 kJ per mole of atoms.

a b c (Å): 3.472 3.472 8.628
angles (deg): 90.00 90.00 90.00
Sites, in units of the cell vectors:
Gd 0.000 0.000 0.190
Gd 0.000 0.000 0.810
Er 0.500 0.500 0.500
Fe 0.500 0.500 0.000

[10]
Density functional theory data (GGA-PBE) for crystalline MoOsW2 at its relaxed geometry.

Values from the calculation:
The distance to the lowest polymorph of the same formula is 26 meV per atom. Its space group is No. 123. Its formation energy is 15.57 kJ per mole of atoms.

a b c (Å): 3.150 3.150 6.322
angles (deg): 90.00 90.00 90.00
Sites, in units of the cell vectors:
Mo 0.000 0.000 0.000
Os 0.000 0.000 0.500
W 0.500 0.500 0.243
W 0.500 0.500 0.757

[11]
Density functional theory data (GGA-PBE) for crystalline Cr2RuAu at its relaxed geometry.

Values from the calculation:
Its space group is No. 216. Its formation energy is 39.51 kJ per mole of atoms.

a b c (Å): 4.372 4.372 4.372
angles (deg): 60.00 60.00 60.00
Sites, in units of the cell vectors:
Cr 0.000 0.000 0.000
Cr 0.250 0.250 0.250
Ru 0.750 0.750 0.750
Au 0.500 0.500 0.500

[12]
Density functional theory data (GGA-PBE) for crystalline AcPaCuIr at its relaxed geometry.

Values from the calculation:
Its space group is No. 216. Its formation energy is -12.63 kJ per mole of atoms.

a b c (Å): 5.075 5.075 5.075
angles (deg): 60.00 60.00 60.00
Sites, in units of the cell vectors:
Ac 0.000 0.000 0.000
Pa 0.500 0.500 0.500
Cu 0.250 0.250 0.250
Ir 0.750 0.750 0.750

| no. | theoretical density (g/cm³) |
| --- | --- |
| 1 | 14.02 |
| 2 | 9.09 |
| 3 | 12.23 |
| 4 | 6.71 |
| 5 | 6.59 |
| 6 | 14.69 |
| 7 | 10.94 |
| 8 | 5.90 |
| 9 | 8.58 |
| 10 | 17.31 |
| 11 | 11.30 |
| 12 | 12.83 |